# 1
NaAlSn: optimized geometry, PBE.

Cell: 14.4973 6.4641 6.4641 Å, 141.51 148.86 31.14°
Sites, in units of the cell vectors:
Sn 0.6334 0.4326 0.5674
Na 0.0925 0.0882 0.9118
Sn 0.3055 0.1663 0.8337
Al 0.7622 0.6480 0.3520
Na 0.5409 0.2266 0.7734
Al 0.0253 0.8775 0.1225

Values from the calculation:
Space-group type: Cm
DOS(E_F), states/eV per atom: 0.3500
Total moment, μB per formula unit: 0.00
DFT total energy, eV/cell: -18.08
Calculated density, g/cm³: 3.521

---

# 2
Er2Tm6Co: optimized geometry, PBE.

Cell: 3.5602 8.9921 9.4999 Å, 118.25 90.01 90.00°
Sites, in units of the cell vectors:
Er 0.4999 0.6701 0.3401
Er 0.5001 0.3299 0.6599
Tm 0.0002 0.9966 0.3305
Co 0.0000 0.0000 0.0000
Tm 0.0002 0.3339 0.3305
Tm 0.5000 0.7895 0.0000
Tm 0.9998 0.0034 0.6695
Tm 0.9998 0.6661 0.6695
Tm 0.5000 0.2105 0.0000

Values from the calculation:
Space-group type: Cmmm
DOS(E_F), states/eV per atom: 1.5515
Total moment, μB per formula unit: 0.00
DFT total energy, eV/cell: -41.53
Calculated density, g/cm³: 8.722

---

# 3
BaEuAg: optimized geometry, PBE.

Cell: 4.7770 5.3547 5.3547 Å, 120.00 90.00 90.00°
Sites, in units of the cell vectors:
Ag 0.2544 0.3333 0.6667
Ba 0.6313 0.6667 0.3333
Eu 0.1143 0.0000 0.0000

Values from the calculation:
Space-group type: P3m1
DOS(E_F), states/eV per atom: 3.0687
Total moment, μB per formula unit: 7.97
DFT total energy, eV/cell: -15.17
Calculated density, g/cm³: 5.560